VASP calculation (PBE+U) on MgFePd2F after structural relaxation.

Computed properties:
M_tot   3.94 μB/f.u.
E above lowest polymorph   0.000 kcal/mol of atoms

a = 4.7932 Å, b = 4.7932 Å, c = 3.7871 Å
α = 90.00°, β = 90.00°, γ = 90.00°
With the nearest neighbours (Å) after each atom.
Sites, in units of the cell vectors:
Mg  0.0000  0.0000  0.0000  8 Pd 3.05, 4 Fe 3.39
Fe  0.5000  0.5000  0.0000  2 F 1.89
Pd  0.0000  0.5000  0.5000  2 F 2.40
Pd  0.5000  0.0000  0.5000  2 F 2.40
F  0.5000  0.5000  0.5000  2 Fe 1.89